(1)
Material: SrHfF2
Method: DFT, PBE
State: relaxed

Cell lengths 7.8150, 7.8150, 7.8150 Å; angles 26.16, 26.16, 26.16 degrees
Positions (direct):
Hf (0.0000, 0.0000, 0.0000)
F (0.0909, 0.0909, 0.0909)
F (0.9091, 0.9091, 0.9091)
Sr (0.5000, 0.5000, 0.5000)

Computed properties:
offset from the most stable computed form: 0 kJ/mol of formula units
electronic total energy: -23.62 eV per cell
V: 81.7 Å³ per cell
total magnetic moment: 0.117 μB per atom
density of states at the Fermi level: 2.77 states/eV per cell
ρ: 6.2 g/cm³

=====

(2)
Material: SrHf3F
Method: DFT, PBE
State: relaxed

Cell lengths 4.7997, 4.7997, 4.7997 Å; angles 90.00, 90.00, 90.00 degrees
Positions (direct):
Hf (0.0000, 0.5000, 0.0000)
Hf (0.0000, 0.0000, 0.5000)
Hf (0.5000, 0.0000, 0.0000)
F (0.0000, 0.0000, 0.0000)
Sr (0.5000, 0.5000, 0.5000)

Computed properties:
offset from the most stable computed form: 0 kJ/mol of formula units
electronic total energy: -33.82 eV per cell
V: 110.6 Å³ per cell
total magnetic moment: 0.000 μB per atom
density of states at the Fermi level: 12.48 states/eV per cell
ρ: 9.6 g/cm³

=====

(3)
Material: Sr2HfF
Method: DFT, PBE
State: relaxed

Cell lengths 7.5839, 7.5839, 6.8792 Å; angles 56.55, 56.55, 90.00 degrees
Positions (direct):
Hf (0.0000, 0.0000, 0.0000)
Hf (0.7500, 0.2500, 0.5000)
F (0.5000, 0.5000, 0.0000)
F (0.2500, 0.7500, 0.5000)
Sr (0.8750, 0.7595, 0.7500)
Sr (0.3750, 0.4905, 0.7500)
Sr (0.5095, 0.1250, 0.2500)
Sr (0.2405, 0.6250, 0.2500)

Computed properties:
offset from the most stable computed form: 0 kJ/mol of formula units
electronic total energy: -35.75 eV per cell
V: 247.8 Å³ per cell
total magnetic moment: 0.126 μB per atom
density of states at the Fermi level: 12.28 states/eV per cell
ρ: 5.0 g/cm³

=====

(4)
Material: SrHfF3
Method: DFT, PBE
State: relaxed

Cell lengths 4.7263, 4.7263, 4.7263 Å; angles 90.00, 90.00, 90.00 degrees
Positions (direct):
Hf (0.5000, 0.5000, 0.5000)
F (0.5000, 0.0000, 0.0000)
F (0.0000, 0.0000, 0.5000)
F (0.0000, 0.5000, 0.0000)
Sr (0.0000, 0.0000, 0.0000)

Computed properties:
offset from the most stable computed form: 160 kJ/mol of formula units
electronic total energy: -26.60 eV per cell
V: 105.6 Å³ per cell
total magnetic moment: 0.415 μB per atom
density of states at the Fermi level: 4.99 states/eV per cell
ρ: 5.1 g/cm³

=====

(5)
Material: SrHf2F
Method: DFT, PBE
State: relaxed

Cell lengths 5.1218, 5.1218, 5.1218 Å; angles 60.00, 60.00, 60.00 degrees
Positions (direct):
F (0.0000, 0.0000, 0.0000)
Hf (0.7500, 0.7500, 0.7500)
Hf (0.2500, 0.2500, 0.2500)
Sr (0.5000, 0.5000, 0.5000)

Computed properties:
offset from the most stable computed form: 374 kJ/mol of formula units
electronic total energy: -20.65 eV per cell
V: 95.0 Å³ per cell
total magnetic moment: 0.000 μB per atom
density of states at the Fermi level: 7.15 states/eV per cell
ρ: 8.1 g/cm³

=====

(6)
Material: Sr2HfF
Method: DFT, PBE
State: relaxed

Cell lengths 5.7308, 5.7308, 5.7308 Å; angles 60.00, 60.00, 60.00 degrees
Positions (direct):
Sr (0.7500, 0.7500, 0.7500)
Sr (0.2500, 0.2500, 0.2500)
Hf (0.5000, 0.5000, 0.5000)
F (0.0000, 0.0000, 0.0000)

Computed properties:
offset from the most stable computed form: 310 kJ/mol of formula units
electronic total energy: -14.66 eV per cell
V: 133.1 Å³ per cell
total magnetic moment: 0.953 μB per atom
density of states at the Fermi level: 7.49 states/eV per cell
ρ: 4.7 g/cm³

=====

The highest electronic total energy belongs to which entry? number 6

=====

What is the density of states at the Fermi level in the first record? 2.77 states/eV per cell

=====

total magnetic moment of number 6 (Sr2HfF)? 0.953 μB per atom

=====

Among the records above, which one has the lowest electronic total energy? number 3